(1)
Density functional theory data (GGA-PBE) for Th2PaPdN5 after structural relaxation.

Calculated values
As for the symmetry: Cmc2_1, No. 36. For the uncorrected formation energy, the calculation gives -25.3 kcal/mol of atoms. The uncorrected energy is -9.003 eV/atom.

Cell lengths 3.577, 7.018, 10.903 Å; angles 90.00, 90.00, 104.76 degrees
Element x y z (fractional)
Th  0.863  0.725  0.802
Th  0.098  0.197  0.686
Th  0.137  0.275  0.302
Th  0.902  0.803  0.186
Pa  0.799  0.598  0.512
Pa  0.201  0.402  0.012
Pd  0.522  0.043  0.950
Pd  0.478  0.957  0.450
N  0.365  0.731  0.992
N  0.674  0.347  0.873
N  0.485  0.969  0.767
N  0.275  0.550  0.658
N  0.944  0.889  0.584
N  0.635  0.269  0.492
N  0.326  0.653  0.373
N  0.515  0.031  0.267
N  0.725  0.450  0.158
N  0.056  0.111  0.084

=====

(2)
Density functional theory data (GGA-PBE) for CuGe2Rh4 after structural relaxation.

Calculated values
As for the symmetry: I4/mmm, No. 139. The value obtained for the formation energy is 0.5137 eV per atom. The uncorrected energy is -5.592 eV/atom.

Cell lengths 4.468, 4.468, 6.931 Å; angles 71.19, 71.19, 90.00 degrees
Element x y z (fractional)
Ge  0.385  0.385  0.229
Ge  0.615  0.615  0.771
Rh  0.198  0.198  0.603
Rh  0.802  0.802  0.397
Rh  0.000  0.500  0.000
Rh  0.500  0.000  0.000
Cu  0.000  0.000  0.000

=====

(3)
Density functional theory data (GGA-PBE) for TlZn2GaBr after structural relaxation.

Calculated values
As for the symmetry: P4/mmm, No. 123. For the uncorrected formation energy, the calculation gives 12.2 kcal/mol of atoms. The uncorrected energy is -1.394 eV/atom.

Cell lengths 5.346, 6.093, 5.346 Å; angles 90.00, 90.00, 90.00 degrees
Element x y z (fractional)
Zn  0.000  0.000  0.500
Zn  0.500  0.000  0.000
Tl  0.000  0.500  0.000
Ga  0.500  0.500  0.500
Br  0.000  0.000  0.000

=====

(4)
Density functional theory data (GGA-PBE) for CaSi after structural relaxation.

Calculated values
As for the symmetry: P4/nmm, No. 129. For the uncorrected formation energy, the calculation gives -3.3 kcal/mol of atoms. The uncorrected energy is -3.854 eV/atom.

Cell lengths 3.462, 3.462, 8.255 Å; angles 90.00, 90.00, 90.00 degrees
Element x y z (fractional)
Ca  0.250  0.250  0.196
Ca  0.750  0.750  0.804
Si  0.250  0.250  0.553
Si  0.750  0.750  0.447

=====

(5)
Density functional theory data (GGA-PBE) for K3AgPt after structural relaxation.

Calculated values
As for the symmetry: Pm-3m, No. 221. The value obtained for the formation energy is 0.1131 eV per atom. The uncorrected energy is -2.324 eV/atom.

Cell lengths 6.102, 6.102, 6.102 Å; angles 90.00, 90.00, 90.00 degrees
Element x y z (fractional)
K  0.000  0.500  0.000
K  0.000  0.000  0.500
K  0.500  0.000  0.000
Ag  0.500  0.500  0.500
Pt  0.000  0.000  0.000

=====

(6)
Density functional theory data (GGA-PBE) for CaSm2AgTe4 after structural relaxation.

Calculated values
As for the symmetry: P2/m, No. 10. For the uncorrected formation energy, the calculation gives -27.1 kcal/mol of atoms. The uncorrected energy is -4.533 eV/atom.

Cell lengths 4.426, 7.855, 7.605 Å; angles 70.35, 90.00, 90.00 degrees
Element x y z (fractional)
Ca  0.000  0.500  0.500
Sm  0.000  0.000  0.000
Sm  0.500  0.000  0.500
Ag  0.500  0.500  0.000
Te  0.000  0.744  0.759
Te  0.000  0.256  0.241
Te  0.500  0.749  0.248
Te  0.500  0.251  0.752

=====

(7)
Density functional theory data (GGA-PBE) for Pm4Pt2C after structural relaxation.

Calculated values
As for the symmetry: I4/mmm, No. 139. The value obtained for the formation energy is -0.5303 eV per atom. The uncorrected energy is -6.289 eV/atom.

Cell lengths 4.925, 4.925, 8.093 Å; angles 107.71, 107.71, 90.00 degrees
Element x y z (fractional)
C  0.000  0.000  0.000
Pt  0.631  0.631  0.261
Pt  0.369  0.369  0.739
Pm  0.823  0.823  0.647
Pm  0.177  0.177  0.353
Pm  0.000  0.500  0.000
Pm  0.500  0.000  0.000

=====

(8)
Density functional theory data (GGA-PBE) for TlGa2Co after structural relaxation.

Calculated values
As for the symmetry: Fm-3m, No. 225. The value obtained for the formation energy is 0.4930 eV per atom. The uncorrected energy is -3.389 eV/atom.

Cell lengths 4.689, 4.689, 4.689 Å; angles 60.00, 60.00, 60.00 degrees
Element x y z (fractional)
Tl  0.500  0.500  0.500
Co  0.000  0.000  0.000
Ga  0.250  0.250  0.250
Ga  0.750  0.750  0.750

=====

(9)
Density functional theory data (GGA-PBE) for BaCaGaP2 after structural relaxation.

Calculated values
As for the symmetry: P4/mmm, No. 123. The value obtained for the formation energy is 0.9608 eV per atom. The uncorrected energy is -2.593 eV/atom.

Cell lengths 5.680, 6.279, 5.680 Å; angles 90.00, 90.00, 90.00 degrees
Element x y z (fractional)
P  0.000  0.000  0.500
P  0.500  0.000  0.000
Ca  0.000  0.500  0.000
Ba  0.000  0.000  0.000
Ga  0.500  0.500  0.500

=====

(10)
Density functional theory data (GGA-PBE) for Cs12Ag5S3 after structural relaxation.

Calculated values
As for the symmetry: Ia-3d, No. 230. For the uncorrected formation energy, the calculation gives -6.5 kcal/mol of atoms. The uncorrected energy is -2.124 eV/atom.

Cell lengths 18.155, 18.155, 18.155 Å; angles 109.47, 109.47, 109.47 degrees
Element x y z (fractional)
S  0.750  0.375  0.125
S  0.875  0.750  0.125
S  0.375  0.750  0.625
S  0.250  0.125  0.375
S  0.875  0.125  0.250
S  0.375  0.625  0.250
S  0.625  0.375  0.750
S  0.125  0.875  0.750
S  0.750  0.875  0.625
S  0.625  0.250  0.375
S  0.125  0.250  0.875
S  0.250  0.625  0.875
Ag  0.125  0.375  0.250
Ag  0.000  0.500  0.000
Ag  0.000  0.000  0.000
Ag  0.375  0.250  0.125
Ag  0.500  0.000  0.500
Ag  0.500  0.500  0.000
Ag  0.125  0.750  0.375
Ag  0.750  0.125  0.875
Ag  0.750  0.625  0.375
Ag  0.375  0.125  0.750
Ag  0.625  0.875  0.250
Ag  0.500  0.500  0.500
Ag  0.500  0.000  0.000
Ag  0.000  0.000  0.500
Ag  0.250  0.375  0.625
Ag  0.250  0.875  0.125
Ag  0.000  0.500  0.500
Ag  0.875  0.250  0.625
Ag  0.625  0.750  0.875
Ag  0.875  0.625  0.750
Cs  0.737  0.135  0.065
Cs  0.328  0.565  0.430
Cs  0.935  0.365  0.263
Cs  0.565  0.237  0.135
Cs  0.602  0.737  0.672
Cs  0.935  0.570  0.172
Cs  0.328  0.763  0.398
Cs  0.070  0.898  0.135
Cs  0.570  0.935  0.672
Cs  0.737  0.602  0.172
Cs  0.763  0.435  0.365
Cs  0.828  0.930  0.065
Cs  0.135  0.737  0.565
Cs  0.365  0.430  0.102
Cs  0.102  0.930  0.365
Cs  0.398  0.135  0.570
Cs  0.102  0.172  0.237
Cs  0.435  0.672  0.070
Cs  0.828  0.898  0.263
Cs  0.135  0.398  0.070
Cs  0.365  0.935  0.763
Cs  0.570  0.635  0.398
Cs  0.930  0.828  0.565
Cs  0.763  0.328  0.898
Cs  0.430  0.365  0.602
Cs  0.070  0.172  0.435
Cs  0.237  0.672  0.102
Cs  0.172  0.102  0.737
Cs  0.635  0.065  0.237
Cs  0.865  0.602  0.930
Cs  0.565  0.328  0.930
Cs  0.602  0.865  0.430
Cs  0.898  0.828  0.763
Cs  0.898  0.070  0.635
Cs  0.865  0.263  0.435
Cs  0.172  0.070  0.935
Cs  0.635  0.570  0.898
Cs  0.430  0.065  0.328
Cs  0.263  0.398  0.828
Cs  0.237  0.565  0.635
Cs  0.930  0.102  0.865
Cs  0.672  0.237  0.602
Cs  0.435  0.763  0.865
Cs  0.065  0.430  0.828
Cs  0.398  0.263  0.328
Cs  0.065  0.635  0.737
Cs  0.672  0.435  0.570
Cs  0.263  0.865  0.935

=====

(11)
Density functional theory data (GGA-PBE) for AcCd2Pt after structural relaxation.

Calculated values
As for the symmetry: Cmcm, No. 63. The value obtained for the formation energy is -0.6568 eV per atom. The uncorrected energy is -3.652 eV/atom.

Cell lengths 4.337, 5.705, 8.793 Å; angles 90.00, 90.00, 112.37 degrees
Element x y z (fractional)
Ac  0.935  0.871  0.250
Ac  0.065  0.129  0.750
Cd  0.352  0.705  0.548
Cd  0.648  0.295  0.452
Cd  0.352  0.705  0.952
Cd  0.648  0.295  0.048
Pt  0.776  0.552  0.750
Pt  0.224  0.448  0.250

=====

(12)
Density functional theory data (GGA-PBE) for SiRh2Cl after structural relaxation.

Calculated values
As for the symmetry: F-43m, No. 216. For the uncorrected formation energy, the calculation gives 10.2 kcal/mol of atoms. The uncorrected energy is -5.049 eV/atom.

Cell lengths 4.412, 4.412, 4.412 Å; angles 60.00, 60.00, 60.00 degrees
Element x y z (fractional)
Cl  0.500  0.500  0.500
Rh  0.000  0.000  0.000
Rh  0.750  0.750  0.750
Si  0.250  0.250  0.250

=====

| no. | size of the total moment (μB/f.u.) | volume (Å³/atom) |
| --- | --- | --- |
| 1 | 0.0 | 14.70 |
| 2 | 0.5 | 17.59 |
| 3 | 0.0 | 34.83 |
| 4 | 0.0 | 24.74 |
| 5 | 0.0 | 45.44 |
| 6 | 0.0 | 31.13 |
| 7 | 0.0 | 25.31 |
| 8 | 0.4 | 18.23 |
| 9 | 0.0 | 40.51 |
| 10 | 0.0 | 57.58 |
| 11 | 0.0 | 25.15 |
| 12 | 0.4 | 15.18 |